1.
Sc2Be2Ag | PBE | relaxed

Computed properties:
Calculated volume ... 16.27 Å³ per atom
Energy of formation ... -0.099 eV per atom

Unit cell a=6.6382 b=6.6382 c=3.6932 alpha=90.00 beta=90.00 gamma=90.00
Closest atoms and distances in Å follow each position.
Space group P4/mbm (No. 127)
Inequivalent atoms, fractional coordinates:
Sc1 0.1713 0.3287 0.0000 (multiplicity 4)  6 Be 2.69-2.70
Be1 0.1195 0.6195 0.5000 (multiplicity 4)  1 Be 2.24
Ag1 0.0000 0.0000 0.5000 (multiplicity 2)  4 Be 2.65

2.
ScBe4Ag | PBE | relaxed

Computed properties:
Calculated volume ... 12.02 Å³ per atom
Energy of formation ... 0.007 eV per atom

Unit cell a=6.6071 b=6.6071 c=6.6071 alpha=90.00 beta=90.00 gamma=90.00
Closest atoms and distances in Å follow each position.
Space group F-43m (No. 216)
Inequivalent atoms, fractional coordinates:
Sc1 0.0000 0.0000 0.0000 (multiplicity 4)  12 Be 2.73, 4 Ag 2.86
Be1 0.1277 0.1277 0.3723 (multiplicity 16)  6 Be 2.29-2.39
Ag1 0.2500 0.2500 0.7500 (multiplicity 4)  12 Be 2.74, 4 Sc 2.86

3.
ScBeAg2 | PBE | relaxed

Computed properties:
Calculated volume ... 16.45 Å³ per atom
Energy of formation ... 0.000 eV per atom

Unit cell a=3.0985 b=3.0985 c=6.8556 alpha=90.00 beta=90.00 gamma=90.00
Closest atoms and distances in Å follow each position.
Space group P4/mmm (No. 123)
Inequivalent atoms, fractional coordinates:
Sc1 0.0000 0.0000 0.0000 (multiplicity 1)  8 Ag 2.98, 4 Sc 3.10
Be1 0.0000 0.0000 0.5000 (multiplicity 1)  8 Ag 2.60
Ag1 0.5000 0.5000 0.2952 (multiplicity 2)  4 Be 2.60, 1 Ag 2.81

4.
Sc2BeAg | PBE | relaxed

Computed properties:
Calculated volume ... 17.63 Å³ per atom
Energy of formation ... 0.144 eV per atom

Unit cell a=6.5582 b=6.5582 c=6.5582 alpha=90.00 beta=90.00 gamma=90.00
Closest atoms and distances in Å follow each position.
Space group F-43m (No. 216)
Inequivalent atoms, fractional coordinates:
Sc1 0.0000 0.0000 0.0000 (multiplicity 4)  4 Sc 2.84, 4 Ag 2.84
Sc2 0.2500 0.2500 0.2500 (multiplicity 4)  4 Be 2.84, 4 Sc 2.84
Be1 0.0000 0.0000 0.5000 (multiplicity 4)  4 Ag 2.84, 4 Sc 2.84
Ag1 0.2500 0.2500 0.7500 (multiplicity 4)  4 Be 2.84, 4 Sc 2.84

5.
Sc2BeAg | PBE | relaxed

Computed properties:
Calculated volume ... 18.48 Å³ per atom
Energy of formation ... -0.090 eV per atom

Unit cell a=6.6615 b=6.6615 c=6.6615 alpha=90.00 beta=90.00 gamma=90.00
Closest atoms and distances in Å follow each position.
Space group Fm-3m (No. 225)
Inequivalent atoms, fractional coordinates:
Sc1 0.2500 0.2500 0.2500 (multiplicity 8)  4 Be 2.88, 4 Ag 2.88
Be1 0.0000 0.0000 0.0000 (multiplicity 4)  8 Sc 2.88
Ag1 0.0000 0.0000 0.5000 (multiplicity 4)  8 Sc 2.88

6.
Sc2BeAg2 | PBE | relaxed

Computed properties:
Calculated volume ... 19.08 Å³ per atom
Energy of formation ... 0.030 eV per atom

Unit cell a=6.5882 b=6.5882 c=4.3950 alpha=90.00 beta=90.00 gamma=90.00
Closest atoms and distances in Å follow each position.
Space group P4/mbm (No. 127)
Inequivalent atoms, fractional coordinates:
Sc1 0.1711 0.3289 0.0000 (multiplicity 4)  6 Ag 2.78-3.04
Be1 0.0000 0.0000 0.5000 (multiplicity 2)  4 Ag 2.52
Ag1 0.1469 0.6469 0.5000 (multiplicity 4)  2 Be 2.52, 1 Ag 2.74, 2 Sc 2.78

7.
ScBeAg4 | PBE | relaxed

Computed properties:
Calculated volume ... 18.67 Å³ per atom
Energy of formation ... 0.220 eV per atom

Unit cell a=7.6524 b=7.6524 c=7.6524 alpha=90.00 beta=90.00 gamma=90.00
Closest atoms and distances in Å follow each position.
Space group F-43m (No. 216)
Inequivalent atoms, fractional coordinates:
Sc1 0.0000 0.0000 0.0000 (multiplicity 4)  12 Ag 3.17, 4 Be 3.31
Be1 0.2500 0.2500 0.2500 (multiplicity 4)  12 Ag 3.17, 4 Sc 3.31
Ag1 0.1247 0.1247 0.6247 (multiplicity 16)  6 Ag 2.70-2.71

8.
ScBeAg2 | PBE | relaxed

Computed properties:
Calculated volume ... 17.28 Å³ per atom
Energy of formation ... 0.065 eV per atom

Unit cell a=3.1929 b=4.0256 c=5.5424 alpha=90.00 beta=104.07 gamma=90.00
Closest atoms and distances in Å follow each position.
Space group P2/m (No. 10)
Inequivalent atoms, fractional coordinates:
Sc1 0.0000 0.0000 0.0000 (multiplicity 1)  2 Be 2.84, 8 Ag 2.93-2.99
Be1 0.5000 0.0000 0.5000 (multiplicity 1)  4 Ag 2.46
Ag1 0.3669 0.5000 0.7255 (multiplicity 2)  2 Be 2.46

9.
ScBeAg2 | PBE | relaxed

Computed properties:
Calculated volume ... 16.76 Å³ per atom
Energy of formation ... 0.034 eV per atom

Unit cell a=4.3173 b=4.3173 c=7.1917 alpha=90.00 beta=90.00 gamma=90.00
Closest atoms and distances in Å follow each position.
Space group I-4m2 (No. 119)
Inequivalent atoms, fractional coordinates:
Sc1 0.0000 0.0000 0.0000 (multiplicity 2)  4 Be 2.81, 8 Ag 2.81-3.05
Be1 0.0000 0.5000 0.2500 (multiplicity 2)  4 Sc 2.81, 8 Ag 2.81-3.05
Ag1 0.0000 0.0000 0.5000 (multiplicity 2)  4 Be 2.81, 4 Ag 2.81, 4 Sc 3.05
Ag2 0.0000 0.5000 0.7500 (multiplicity 2)  4 Ag 2.81, 4 Sc 2.81, 4 Be 3.05

10.
Sc2BeAg | PBE | relaxed

Computed properties:
Calculated volume ... 18.46 Å³ per atom
Energy of formation ... 0.011 eV per atom

Unit cell a=3.2109 b=3.2109 c=7.1624 alpha=90.00 beta=90.00 gamma=90.00
Closest atoms and distances in Å follow each position.
Space group P4mm (No. 99)
Inequivalent atoms, fractional coordinates:
Sc1 0.0000 0.0000 0.0000 (multiplicity 1)  4 Be 2.86, 1 Ag 2.92
Sc2 0.5000 0.5000 0.3208 (multiplicity 1)  4 Ag 2.99, 1 Be 3.12, 8 Sc 3.21-3.23
Be1 0.5000 0.5000 0.7570 (multiplicity 1)  4 Ag 2.56, 4 Sc 2.86
Ag1 0.0000 0.0000 0.5924 (multiplicity 1)  4 Be 2.56

11.
Sc2BeAg | PBE | relaxed

Computed properties:
Calculated volume ... 18.30 Å³ per atom
Energy of formation ... -0.020 eV per atom

Unit cell a=10.7255 b=3.1469 c=4.7319 alpha=90.00 beta=113.59 gamma=90.00
Closest atoms and distances in Å follow each position.
Space group Cm (No. 8)
Inequivalent atoms, fractional coordinates:
Sc1 0.0000 0.0000 0.0000 (multiplicity 2)  2 Be 2.83, 4 Ag 2.92-2.94, 4 Sc 3.11-3.15
Sc2 0.2061 0.0000 0.6895 (multiplicity 2)  4 Be 2.82-2.90, 1 Ag 3.07, 4 Sc 3.11-3.15
Be1 0.2398 0.5000 0.2106 (multiplicity 2)  2 Ag 2.43
Ag1 0.4268 0.0000 0.4304 (multiplicity 2)  2 Be 2.43

12.
ScBeAg2 | PBE | relaxed

Computed properties:
Calculated volume ... 16.83 Å³ per atom
Energy of formation ... -0.006 eV per atom

Unit cell a=3.8252 b=4.6145 c=7.6265 alpha=90.00 beta=90.00 gamma=90.00
Closest atoms and distances in Å follow each position.
Space group Immm (No. 71)
Inequivalent atoms, fractional coordinates:
Sc1 0.0000 0.0000 0.0000 (multiplicity 2)  8 Ag 2.85-2.87, 4 Be 3.00
Be1 0.0000 0.0000 0.5000 (multiplicity 2)  4 Ag 2.54
Ag1 0.0000 0.5000 0.2200 (multiplicity 4)  2 Be 2.54

13.
Sc2BeAg | PBE | relaxed

Computed properties:
Calculated volume ... 19.85 Å³ per atom
Energy of formation ... 0.165 eV per atom

Unit cell a=8.3165 b=3.2074 c=6.0630 alpha=90.00 beta=100.99 gamma=90.00
Closest atoms and distances in Å follow each position.
Space group C2/m (No. 12)
Inequivalent atoms, fractional coordinates:
Sc1 0.2413 0.0000 0.2222 (multiplicity 4)  3 Be 2.72-2.75, 3 Ag 2.86-2.94
Be1 0.0000 0.5000 0.0000 (multiplicity 2)  6 Sc 2.72-2.75
Ag1 0.0000 0.0000 0.5000 (multiplicity 2)  6 Sc 2.86-2.94

14.
ScBeAg2 | PBE | relaxed

Computed properties:
Calculated volume ... 17.43 Å³ per atom
Energy of formation ... 0.230 eV per atom

Unit cell a=5.6186 b=9.3406 c=2.9744 alpha=90.00 beta=116.73 gamma=90.00
Closest atoms and distances in Å follow each position.
Space group C2/m (No. 12)
Inequivalent atoms, fractional coordinates:
Sc1 0.0000 0.0000 0.0000 (multiplicity 2)  4 Ag 2.79, 4 Be 2.81-3.04, 2 Sc 2.97
Be1 0.0000 0.5000 0.0000 (multiplicity 2)  4 Ag 2.79, 4 Sc 2.81-3.04, 2 Be 2.97
Ag1 0.2500 0.2500 0.5000 (multiplicity 4)  2 Be 2.79, 2 Sc 2.79, 6 Ag 2.81-3.04

What did we get for VASP energy? Answer: -4.693; -4.008; -3.940; -4.666; -4.900; -4.388; -3.357; -3.875; -3.906; -4.799; -4.830; -3.946; -4.645; -3.710 eV/atom, in the order shown.
What did we get for total magnetic moment? Answer: 0.0; 0.0; 0.0; 0.9; 0.0; 0.0; 0.0; 0.0; 0.0; 1.5; 0.3; 0.0; 0.0; 0.0 μB per formula unit, in the order shown.